[1]
Computed, not measured: a geometry-optimized Dy3Si2Ni4Ge2 structure at the PBE level of DFT.

Summary:
symmetry = Immm (71)
magnetization = 0.0 μB per cell
E_tot = -0.2166 Ha/atom
crystal system = orthorhombic

Cell and atoms, written as POSCAR:
```
Dy3Si2Ni4Ge2
1.0
-1.417 5.183 5.663
2.194 7.446 -0.827
-4.264 -6.098 -2.360
Si Ge Dy Ni
2 2 3 4
direct
0.283 0.283 0.000
0.717 0.717 0.000
0.805 0.000 0.805
0.195 0.000 0.195
0.500 0.500 0.000
0.129 0.629 0.500
0.871 0.371 0.500
0.513 0.817 0.696
0.121 0.817 0.304
0.487 0.183 0.304
0.879 0.183 0.696
```

[2]
Computed, not measured: a geometry-optimized TbDy2Ni4Ge4 structure at the PBE level of DFT.

Summary:
symmetry = Immm (71)
magnetization = 0.0 μB per cell
E_tot = -0.2095 Ha/atom
crystal system = orthorhombic

Cell and atoms, written as POSCAR:
```
TbDy2Ni4Ge4
1.0
-0.231 5.103 5.944
-5.239 5.829 -0.089
1.585 -7.675 0.122
Ge Tb Dy Ni
4 1 2 4
direct
0.693 0.500 0.193
0.217 0.217 0.000
0.783 0.783 0.000
0.307 0.500 0.807
0.000 0.000 0.000
0.630 0.130 0.500
0.370 0.870 0.500
0.627 0.323 0.305
0.373 0.677 0.695
0.018 0.323 0.695
0.982 0.677 0.305
```

[3]
Computed, not measured: a geometry-optimized Dy2Tm2TlNi2Ge4 structure at the PBE level of DFT.

Summary:
symmetry = C2/m (12)
magnetization = 0.0 μB per cell
E_tot = -0.1945 Ha/atom
crystal system = monoclinic

Cell and atoms, written as POSCAR:
```
Dy2Tm2TlNi2Ge4
1.0
-2.177 -7.207 2.893
-2.440 -7.575 -1.310
7.012 0.163 -0.453
Ni Ge Tm Tl Dy
2 4 2 1 2
direct
0.217 0.217 0.647
0.783 0.783 0.353
0.794 0.794 0.727
0.206 0.206 0.273
0.934 0.934 0.338
0.066 0.066 0.662
0.343 0.343 0.062
0.657 0.657 0.938
0.000 0.000 0.000
0.409 0.409 0.610
0.591 0.591 0.390
```

[4]
Computed, not measured: a geometry-optimized DyYNi2Ge4 structure at the PBE level of DFT.

Summary:
symmetry = Amm2 (38)
magnetization = 0.0 μB per cell
E_tot = -0.2128 Ha/atom
crystal system = orthorhombic

Cell and atoms, written as POSCAR:
```
DyYNi2Ge4
1.0
-1.221 -3.970 -0.066
8.256 -2.525 -0.838
7.684 -2.416 3.216
Ni Dy Ge Y
2 1 4 1
direct
0.000 0.178 0.178
0.500 0.822 0.822
0.000 0.393 0.393
0.500 0.249 0.249
0.500 0.958 0.958
0.000 0.041 0.041
0.000 0.751 0.751
0.500 0.607 0.607
```

[5]
Computed, not measured: a geometry-optimized DyY2Ni4Ge4 structure at the PBE level of DFT.

Summary:
symmetry = Immm (71)
magnetization = 0.0 μB per cell
E_tot = -0.2218 Ha/atom
crystal system = orthorhombic

Cell and atoms, written as POSCAR:
```
DyY2Ni4Ge4
1.0
-2.048 3.361 6.768
2.048 -3.361 6.768
2.048 3.361 -6.768
Dy Y Ge Ni
1 2 4 4
direct
0.000 0.000 0.000
0.629 0.129 0.500
0.371 0.871 0.500
0.217 0.217 0.000
0.783 0.783 0.000
0.694 0.500 0.194
0.306 0.500 0.806
0.018 0.323 0.694
0.982 0.677 0.306
0.371 0.677 0.694
0.629 0.323 0.306
```

[6]
Computed, not measured: a geometry-optimized DyNpGe structure at the PBE level of DFT.

Summary:
symmetry = F-43m (216)
magnetization = 5.4 μB per cell
E_tot = -0.2697 Ha/atom
crystal system = cubic

Cell and atoms, written as POSCAR:
```
DyNpGe
1.0
0.000 3.433 3.433
3.433 0.000 3.433
3.433 3.433 0.000
Dy Np Ge
1 1 1
direct
0.250 0.250 0.250
0.750 0.750 0.750
0.000 0.000 0.000
```

[7]
Computed, not measured: a geometry-optimized Dy2Ge2O5 structure at the PBE level of DFT.

Summary:
symmetry = P4/mmm (123)
magnetization = 0.0 μB per cell
E_tot = -0.2467 Ha/atom
crystal system = tetragonal

Cell and atoms, written as POSCAR:
```
Dy2Ge2O5
1.0
6.608 0.000 0.000
0.000 4.054 0.000
0.000 0.000 4.054
Dy Ge O
2 2 5
direct
0.000 0.000 0.000
0.500 0.000 0.000
0.787 0.500 0.500
0.213 0.500 0.500
0.500 0.500 0.500
0.233 0.000 0.500
0.767 0.500 0.000
0.233 0.500 0.000
0.767 0.000 0.500
```

[8]
Computed, not measured: a geometry-optimized DyGe4O9 structure at the PBE level of DFT.

Summary:
symmetry = C2 (5)
magnetization = 0.0 μB per cell
E_tot = -0.2448 Ha/atom
crystal system = monoclinic

Cell and atoms, written as POSCAR:
```
DyGe4O9
1.0
3.499 -5.559 0.000
3.499 5.559 0.000
-2.002 0.000 4.370
O Ge Dy
9 4 1
direct
0.057 0.708 0.136
0.522 0.869 0.417
0.292 0.943 0.864
0.131 0.478 0.583
0.587 0.727 0.903
0.345 0.217 0.480
0.273 0.413 0.097
0.784 0.216 0.000
0.783 0.655 0.520
0.496 0.090 0.685
0.309 0.691 0.000
0.463 0.537 0.500
0.910 0.504 0.315
0.003 0.997 0.000
```

[9]
Computed, not measured: a geometry-optimized Dy2Ge2O7 structure at the PBE level of DFT.

Summary:
symmetry = P1 (1)
magnetization = 0.0 μB per cell
E_tot = -0.2724 Ha/atom
crystal system = triclinic

Cell and atoms, written as POSCAR:
```
Dy2Ge2O7
1.0
-4.335 1.782 4.837
1.550 -6.658 -0.216
5.344 0.673 3.989
Ge O Dy
4 14 4
direct
0.314 0.351 0.626
0.761 0.500 0.875
0.792 0.872 0.316
0.199 0.821 0.959
0.643 0.374 0.100
0.384 0.897 0.768
0.929 0.786 0.860
0.530 0.555 0.767
0.797 0.331 0.716
0.197 0.486 0.453
0.283 0.003 0.147
0.938 0.725 0.409
0.141 0.199 0.815
0.549 0.741 0.170
0.414 0.237 0.450
0.925 0.123 0.175
0.703 0.987 0.507
0.093 0.548 0.051
0.298 0.354 0.128
0.753 0.005 0.849
0.322 0.855 0.436
0.829 0.358 0.376
```

[10]
Computed, not measured: a geometry-optimized Dy2Ge2O7 structure at the PBE level of DFT.

Summary:
symmetry = P4_12_12 (92)
magnetization = 0.0 μB per cell
E_tot = -0.2735 Ha/atom
crystal system = tetragonal

Cell and atoms, written as POSCAR:
```
Dy2Ge2O7
1.0
6.793 0.000 0.000
0.000 6.793 0.000
0.000 0.000 12.379
Ge Dy O
8 8 28
direct
0.898 0.152 0.619
0.102 0.848 0.119
0.152 0.898 0.381
0.602 0.652 0.631
0.398 0.348 0.131
0.848 0.102 0.881
0.348 0.398 0.869
0.652 0.602 0.369
0.354 0.874 0.864
0.626 0.854 0.114
0.854 0.626 0.886
0.874 0.354 0.136
0.146 0.374 0.386
0.126 0.646 0.636
0.646 0.126 0.364
0.374 0.146 0.614
0.424 0.467 0.627
0.818 0.644 0.706
0.356 0.182 0.794
0.467 0.424 0.373
0.701 0.701 0.500
0.033 0.924 0.877
0.162 0.564 0.821
0.576 0.533 0.127
0.644 0.818 0.294
0.564 0.162 0.179
0.936 0.662 0.071
0.436 0.838 0.679
0.299 0.299 0.000
0.144 0.682 0.456
0.182 0.356 0.206
0.338 0.064 0.429
0.924 0.033 0.123
0.799 0.201 0.750
0.064 0.338 0.571
0.662 0.936 0.929
0.076 0.967 0.623
0.838 0.436 0.321
0.318 0.856 0.044
0.201 0.799 0.250
0.967 0.076 0.377
0.533 0.576 0.873
0.682 0.144 0.544
0.856 0.318 0.956
```

[11]
Computed, not measured: a geometry-optimized Dy2Ge2O7 structure at the PBE level of DFT.

Summary:
symmetry = P-1 (2)
magnetization = 0.0 μB per cell
E_tot = -0.2726 Ha/atom
crystal system = triclinic

Cell and atoms, written as POSCAR:
```
Dy2Ge2O7
1.0
12.224 -0.012 -0.216
-0.491 6.773 -0.089
-0.160 -0.212 6.776
O Ge Dy
28 8 8
direct
0.917 0.339 0.000
0.377 0.080 0.775
0.019 0.096 0.240
0.689 0.214 0.709
0.187 0.788 0.630
0.623 0.920 0.225
0.311 0.786 0.291
0.576 0.225 0.042
0.225 0.130 0.396
0.981 0.904 0.760
0.083 0.661 0.000
0.305 0.394 0.067
0.451 0.160 0.399
0.079 0.278 0.707
0.921 0.722 0.293
0.186 0.021 0.007
0.549 0.840 0.601
0.703 0.553 0.387
0.297 0.447 0.613
0.775 0.870 0.604
0.813 0.212 0.370
0.493 0.557 0.299
0.424 0.775 0.958
0.507 0.443 0.701
0.116 0.491 0.339
0.884 0.509 0.661
0.814 0.979 0.993
0.695 0.606 0.933
0.114 0.853 0.832
0.163 0.331 0.511
0.837 0.669 0.489
0.380 0.615 0.142
0.396 0.265 0.610
0.604 0.735 0.390
0.620 0.385 0.858
0.886 0.147 0.168
0.640 0.919 0.889
0.886 0.670 0.957
0.631 0.229 0.371
0.883 0.170 0.686
0.369 0.771 0.629
0.117 0.830 0.314
0.360 0.081 0.111
0.114 0.330 0.043
```

[12]
Computed, not measured: a geometry-optimized Dy2GeO4 structure at the PBE level of DFT.

Summary:
symmetry = Fddd (70)
magnetization = 0.0 μB per cell
E_tot = -0.2712 Ha/atom
crystal system = orthorhombic

Cell and atoms, written as POSCAR:
```
Dy2GeO4
1.0
0.000 5.490 5.563
3.334 0.000 5.563
3.334 5.490 0.000
Ge O Dy
2 8 4
direct
0.250 0.250 0.250
0.000 0.000 0.000
0.969 0.751 0.889
0.391 0.889 0.751
0.499 0.281 0.859
0.361 0.859 0.281
0.281 0.499 0.361
0.859 0.361 0.499
0.889 0.391 0.969
0.751 0.969 0.391
0.304 0.304 0.696
0.946 0.946 0.554
0.554 0.554 0.946
0.696 0.696 0.304
```